A geometry-optimized MgCr2O4 structure. Source: Alexandria, functional PBE with a Hubbard U.

Results
**Symmetry**: Imma, No. 74
**Theoretical density**: 4.210 Mg/m³
**Energy above the lowest structure with this stoichiometry**: 203 meV per atom
**Crystal system**: orthorhombic

Cell: 5.917 5.917 5.917 Å, 118.88 115.85 94.65°
Last column: magnetic moment on the atom in μB.
Sites, in units of the cell vectors:
Cr: 0.619 0.869 0.750  3.01
Cr: 0.000 0.000 0.500  3.04
Cr: 0.000 0.500 0.000  3.04
Cr: 0.381 0.131 0.250  3.01
Mg: 0.500 0.500 0.000  0.00
Mg: 0.000 0.500 0.500  0.00
O: 0.790 0.757 0.033  -0.04
O: 0.747 0.729 0.482  -0.05
O: 0.253 0.735 0.982  -0.05
O: 0.224 0.757 0.467  -0.04
O: 0.253 0.271 0.518  -0.05
O: 0.747 0.265 0.018  -0.05
O: 0.776 0.243 0.533  -0.04
O: 0.210 0.243 0.967  -0.04